(1)
# GGA-PBE Ba2AsPt, relaxed
# **ρ**: 6.2 Mg/m³
# **Raw total energy**: -4.3126 eV per atom
# **Energy relative to the elements**: -2.7 eV/f.u.
# **Total magnetization**: 3.018 Bohr magnetons per cell
data_Ba2AsPt
_chemical_formula_sum 'Ba6 As3 Pt3'
_symmetry_space_group_name_H-M 'R -3 m'
_symmetry_Int_Tables_number 166
_symmetry_space_group_name_Hall '-R 3 2"'
_cell_length_a 4.5819
_cell_length_b 4.5819
_cell_length_c 23.9319
_cell_angle_alpha 90.00
_cell_angle_beta 90.00
_cell_angle_gamma 120.00
loop_
_atom_site_label
_atom_site_type_symbol
_atom_site_fract_x
_atom_site_fract_y
_atom_site_fract_z
Ba1 Ba 0.0000 0.0000 0.2449
As1 As 0.0000 0.0000 0.0000
Pt1 Pt 0.0000 0.0000 0.5000

(2)
# GGA-PBE LiZr2F, relaxed
# **ρ**: 5.0 Mg/m³
# **E_form (uncorrected)**: -151 meV per atom
# **Raw total energy**: -5.3717 eV per atom
# **E above lowest polymorph**: 85 meV per atom
# **Total magnetization**: 0.000 Bohr magnetons per cell
data_LiZr2F
_chemical_formula_sum 'Li4 Zr8 F4'
_symmetry_space_group_name_H-M 'F m -3 m'
_symmetry_Int_Tables_number 225
_symmetry_space_group_name_Hall '-F 4 2 3'
_cell_length_a 6.521
_cell_length_b 6.521
_cell_length_c 6.521
_cell_angle_alpha 90.00
_cell_angle_beta 90.00
_cell_angle_gamma 90.00
loop_
_atom_site_label
_atom_site_type_symbol
_atom_site_fract_x
_atom_site_fract_y
_atom_site_fract_z
Li1 Li 0.000 0.000 0.000
Zr1 Zr 0.250 0.250 0.250
F1 F 0.000 0.000 0.500

(3)
# GGA-PBE RbTlPOs, relaxed
# **ρ**: 7.3 Mg/m³
# **Raw total energy**: -5.1825 eV per atom
# **Energy relative to the elements**: -0.8 eV/f.u.
# **Total magnetization**: 0.000 Bohr magnetons per cell
data_RbTlPOs
_chemical_formula_sum 'Rb2 Tl2 P2 Os2'
_symmetry_space_group_name_H-M 'P 4/n m m'
_symmetry_Int_Tables_number 129
_cell_length_a 4.149
_cell_length_b 4.149
_cell_length_c 13.471
_cell_angle_alpha 90.00
_cell_angle_beta 90.00
_cell_angle_gamma 90.00
loop_
_symmetry_equiv_pos_as_xyz
'x,y,z'
'-x,-y,-z'
'-y+1/2,x,z'
'y+1/2,-x,-z'
'-x+1/2,-y+1/2,z'
'x+1/2,y+1/2,-z'
'y,-x+1/2,z'
'-y,x+1/2,-z'
'x+1/2,-y,-z'
'-x+1/2,y,z'
'-y,-x,-z'
'y,x,z'
'-x,y+1/2,-z'
'x,-y+1/2,z'
'y+1/2,x+1/2,-z'
'-y+1/2,-x+1/2,z'
loop_
_atom_site_label
_atom_site_type_symbol
_atom_site_fract_x
_atom_site_fract_y
_atom_site_fract_z
Rb1 Rb 0.250 0.250 0.230
Tl1 Tl 0.250 0.750 0.500
P1 P 0.250 0.250 0.915
Os1 Os 0.250 0.750 0.000

(4)
# GGA-PBE MgIn2W, relaxed
# **ρ**: 9.1 Mg/m³
# **Raw total energy**: -4.6189 eV per atom
# **Energy relative to the elements**: 1.5 eV/f.u.
# **Total magnetization**: 0.000 Bohr magnetons per cell
data_MgIn2W
_chemical_formula_sum 'Mg2 In4 W2'
_symmetry_space_group_name_H-M 'C 1 m 1'
_symmetry_Int_Tables_number 8
_symmetry_space_group_name_Hall 'C -2y'
_cell_length_a 10.676
_cell_length_b 2.930
_cell_length_c 5.168
_cell_angle_alpha 90.00
_cell_angle_beta 96.82
_cell_angle_gamma 90.00
loop_
_atom_site_label
_atom_site_type_symbol
_atom_site_fract_x
_atom_site_fract_y
_atom_site_fract_z
Mg1 Mg 0.000 0.000 0.000
In1 In 0.029 0.500 0.528
In2 In 0.261 0.500 0.237
W1 W 0.272 0.000 0.745

(5)
# GGA-PBE Li2HfS2, relaxed
# **ρ**: 5.1 Mg/m³
# **E_form (uncorrected)**: -1105 meV per atom
# **Raw total energy**: -5.5126 eV per atom
# **Total magnetization**: 0.000 Bohr magnetons per cell
data_Li2HfS2
_chemical_formula_sum 'Li4 Hf2 S4'
_symmetry_space_group_name_H-M 'P 4/m b m'
_symmetry_Int_Tables_number 127
_symmetry_space_group_name_Hall '-P 4 2ab'
_cell_length_a 6.856
_cell_length_b 6.856
_cell_length_c 3.550
_cell_angle_alpha 90.00
_cell_angle_beta 90.00
_cell_angle_gamma 90.00
loop_
_atom_site_label
_atom_site_type_symbol
_atom_site_fract_x
_atom_site_fract_y
_atom_site_fract_z
Li1 Li 0.143 0.357 0.000
Hf1 Hf 0.000 0.000 0.500
S1 S 0.177 0.677 0.500

(6)
# GGA-PBE Ba2NaCd3Pb4, relaxed
# **ρ**: 7.4 Mg/m³
# **Raw total energy**: -2.5957 eV per atom
# **Energy relative to the elements**: -3.2 eV/f.u.
# **Total magnetization**: 0.000 Bohr magnetons per cell
data_Ba2NaCd3Pb4
_chemical_formula_sum 'Ba2 Na1 Cd3 Pb4'
_symmetry_space_group_name_H-M 'P -4 m 2'
_symmetry_Int_Tables_number 115
_symmetry_space_group_name_Hall 'P -4 -2'
_cell_length_a 5.026
_cell_length_b 5.026
_cell_length_c 13.049
_cell_angle_alpha 90.00
_cell_angle_beta 90.00
_cell_angle_gamma 90.00
loop_
_atom_site_label
_atom_site_type_symbol
_atom_site_fract_x
_atom_site_fract_y
_atom_site_fract_z
Ba1 Ba 0.000 0.500 0.248
Na1 Na 0.000 0.000 0.500
Cd1 Cd 0.000 0.500 0.861
Cd2 Cd 0.500 0.500 0.500
Pb1 Pb 0.000 0.000 0.000
Pb2 Pb 0.000 0.500 0.638
Pb3 Pb 0.500 0.500 0.000

(7)
# GGA-PBE SrRuCl2, relaxed
# **ρ**: 4.5 Mg/m³
# **E_form (uncorrected)**: -54 meV per atom
# **Raw total energy**: -3.7167 eV per atom
# **E above lowest polymorph**: 686 meV per atom
# **Total magnetization**: 8.541 Bohr magnetons per cell
data_SrRuCl2
_chemical_formula_sum 'Sr4 Ru4 Cl8'
_symmetry_space_group_name_H-M 'F -4 3 m'
_symmetry_Int_Tables_number 216
_symmetry_space_group_name_Hall 'F -4 2 3'
_cell_length_a 7.249
_cell_length_b 7.249
_cell_length_c 7.249
_cell_angle_alpha 90.00
_cell_angle_beta 90.00
_cell_angle_gamma 90.00
loop_
_atom_site_label
_atom_site_type_symbol
_atom_site_fract_x
_atom_site_fract_y
_atom_site_fract_z
Sr1 Sr 0.000 0.000 0.000
Ru1 Ru 0.250 0.250 0.750
Cl1 Cl 0.000 0.000 0.500
Cl2 Cl 0.250 0.250 0.250

(8)
# GGA-PBE LiMgNbNi, relaxed
# **ρ**: 5.2 Mg/m³
# **Raw total energy**: -4.8163 eV per atom
# **Energy relative to the elements**: 0.1 eV/f.u.
# **Total magnetization**: 0.000 Bohr magnetons per cell
data_LiMgNbNi
_chemical_formula_sum 'Li4 Mg4 Nb4 Ni4'
_symmetry_space_group_name_H-M 'F -4 3 m'
_symmetry_Int_Tables_number 216
_symmetry_space_group_name_Hall 'F -4 2 3'
_cell_length_a 6.171
_cell_length_b 6.171
_cell_length_c 6.171
_cell_angle_alpha 90.00
_cell_angle_beta 90.00
_cell_angle_gamma 90.00
loop_
_atom_site_label
_atom_site_type_symbol
_atom_site_fract_x
_atom_site_fract_y
_atom_site_fract_z
Li1 Li 0.000 0.000 0.000
Mg1 Mg 0.250 0.250 0.750
Nb1 Nb 0.250 0.250 0.250
Ni1 Ni 0.000 0.000 0.500

Which value of total magnetization does entry 3 give?
0.000 Bohr magnetons per cell